The following is a GGA-PBE calculation of an optimized crystal structure of Li2In2Ni, from the Alexandria database.

Cell: 6.2781 6.2781 4.2991 Å, 90.00 90.00 90.00°
Fractional positions:
Li1 0.1368 0.3632 0.0000
In1 0.1830 0.6830 0.5000
Ni1 0.0000 0.0000 0.0000
In2 0.8170 0.3170 0.5000
Li2 0.6368 0.1368 0.0000
Ni2 0.5000 0.5000 0.0000
Li3 0.8632 0.6368 0.0000
In3 0.3170 0.1830 0.5000
In4 0.6830 0.8170 0.5000
Li4 0.3632 0.8632 0.0000

Calculated values
DFT total energy: -2.996 eV per atom
DOS at the Fermi energy: 0.41 states/eV/atom



The following is a GGA-PBE calculation of an optimized crystal structure of LiIn2Ni2, from the Alexandria database.

Cell: 7.2645 7.2645 3.1073 Å, 90.00 90.00 90.00°
Fractional positions:
In1 0.8315 0.3315 0.5000
In2 0.6685 0.8315 0.5000
Li1 0.0000 0.0000 0.0000
Ni1 0.3717 0.8717 0.0000
Ni2 0.6283 0.1283 0.0000
Ni3 0.8717 0.6283 0.0000
In3 0.3315 0.1685 0.5000
Ni4 0.1283 0.3717 0.0000
In4 0.1685 0.6685 0.5000
Li2 0.5000 0.5000 0.0000

Calculated values
DFT total energy: -3.963 eV per atom
energy above the most stable polymorph in this dataset: 0 meV/atom
DOS at the Fermi energy: 0.47 states/eV/atom